Compound: Ac6Ni2IrPt
Source: the Alexandria database
Functional: PBE-GGA
Structure: relaxed

a b c (Å): 7.5068 7.5068 20.8714
angles (deg): 90.00 90.00 120.00
Space group R3 (No. 146, hexagonal axes)
One atom of each set of equivalent atoms:
Ac1 0.0018 0.3247 0.0000
Ac2 0.0078 0.6873 0.5023
Ni1 0.0000 0.0000 0.4126
Ni2 0.0000 0.0000 0.9133
Ir1 0.0000 0.0000 0.5905
Pt1 0.0000 0.0000 0.0904

Calculated values
energy	-5.599	eV per atom

---

Compound: Ac6NiIr2Pt
Source: the Alexandria database
Functional: PBE-GGA
Structure: relaxed

a b c (Å): 7.520 7.521 8.214
angles (deg): 62.76 62.76 60.09
Space group P1 (No. 1)
One atom of each set of equivalent atoms:
Ac1 0.000 0.000 0.000
Ac2 0.140 0.506 0.496
Ac3 0.305 0.331 0.000
Ac4 0.494 0.834 0.496
Ac5 0.635 0.695 0.000
Ac6 0.811 0.188 0.497
Ni1 0.225 0.920 0.265
Ir1 0.402 0.097 0.733
Ir2 0.902 0.596 0.235
Pt1 0.724 0.419 0.770

Calculated values
energy	-6.020	eV per atom

---

Compound: Ac6NiIrPt2
Source: the Alexandria database
Functional: PBE-GGA
Structure: relaxed

a b c (Å): 7.5847 7.5847 20.9607
angles (deg): 90.00 90.00 120.00
Space group R3 (No. 146, hexagonal axes)
One atom of each set of equivalent atoms:
Ac1 0.0086 0.3199 0.0000
Ac2 0.0092 0.6558 0.1677
Ni1 0.0000 0.0000 0.4117
Ir1 0.0000 0.0000 0.9110
Pt1 0.0000 0.0000 0.0929
Pt2 0.0000 0.0000 0.5923

Calculated values
energy	-5.820	eV per atom

---

Compound: Ac6NiIr2Rh
Source: the Alexandria database
Functional: PBE-GGA
Structure: relaxed

a b c (Å): 7.4703 7.4703 20.7499
angles (deg): 90.00 90.00 120.00
Space group R3 (No. 146, hexagonal axes)
One atom of each set of equivalent atoms:
Ac1 0.0005 0.3260 0.0000
Ac2 0.0026 0.6758 0.4993
Ni1 0.0000 0.0000 0.5846
Ir1 0.0000 0.0000 0.4137
Ir2 0.0000 0.0000 0.9146
Rh1 0.0000 0.0000 0.0860

Calculated values
energy	-6.065	eV per atom

---

Compound: Ac8NiIr3S4
Source: the Alexandria database
Functional: PBE-GGA
Structure: relaxed

a b c (Å): 8.5242 8.5242 22.5154
angles (deg): 90.00 90.00 120.00
Space group R-3m (No. 166, hexagonal axes)
One atom of each set of equivalent atoms:
Ac1 0.0000 0.0000 0.2443
Ac2 0.0019 0.5010 0.7558
Ni1 0.0000 0.0000 0.5000
Ir1 0.0000 0.5000 0.5000
S1 0.0000 0.0000 0.0000
S2 0.0000 0.5000 0.0000

Calculated values
energy	-6.351	eV per atom
formation energy from raw total energies	-19.9	eV per formula unit

---

Compound: Ac2NiSb4Ir3
Source: the Alexandria database
Functional: PBE-GGA
Structure: relaxed

a b c (Å): 4.672 4.672 10.442
angles (deg): 90.00 90.00 90.00
Space group P-4m2 (No. 115)
One atom of each set of equivalent atoms:
Ac1 0.000 0.500 0.242
Ni1 0.500 0.500 0.000
Sb1 0.000 0.000 0.500
Sb2 0.000 0.500 0.876
Sb3 0.500 0.500 0.500
Ir1 0.000 0.000 0.000
Ir2 0.000 0.500 0.622

Calculated values
energy	-6.359	eV per atom
formation energy from raw total energies	-6.5	eV per formula unit

---

Compound: AcScNiIr
Source: the Alexandria database
Functional: PBE-GGA
Structure: relaxed

a b c (Å): 6.950 6.950 6.950
angles (deg): 90.00 90.00 90.00
Space group F-43m (No. 216)
One atom of each set of equivalent atoms:
Ac1 0.000 0.000 0.000
Sc1 0.000 0.000 0.500
Ni1 0.250 0.250 0.250
Ir1 0.250 0.250 0.750

Calculated values
energy	-6.627	eV per atom

---

Compound: AcSi2NiIr
Source: the Alexandria database
Functional: PBE-GGA
Structure: relaxed

a b c (Å): 4.184 4.184 10.587
angles (deg): 90.00 90.00 90.00
Space group I-4m2 (No. 119)
One atom of each set of equivalent atoms:
Ac1 0.000 0.000 0.000
Si1 0.000 0.000 0.360
Ni1 0.000 0.500 0.250
Ir1 0.000 0.500 0.750

Calculated values
energy	-6.697	eV per atom
formation energy from raw total energies	-3.9	eV per formula unit

---

Compound: Ac2Si4NiIr3
Source: the Alexandria database
Functional: PBE-GGA
Structure: relaxed

a b c (Å): 4.301 4.301 9.989
angles (deg): 90.00 90.00 90.00
Space group P-4m2 (No. 115)
One atom of each set of equivalent atoms:
Ac1 0.000 0.500 0.248
Si1 0.000 0.000 0.000
Si2 0.000 0.500 0.620
Si3 0.500 0.500 0.000
Ni1 0.000 0.000 0.500
Ir1 0.000 0.500 0.875
Ir2 0.500 0.500 0.500

Calculated values
energy	-7.069	eV per atom
formation energy from raw total energies	-8.4	eV per formula unit

---

Compound: Ac2Si3NiIr4
Source: the Alexandria database
Functional: PBE-GGA
Structure: relaxed

a b c (Å): 4.234 4.234 10.289
angles (deg): 90.00 90.00 90.00
Space group P-4m2 (No. 115)
One atom of each set of equivalent atoms:
Ac1 0.000 0.500 0.242
Si1 0.000 0.000 0.000
Si2 0.000 0.500 0.624
Ni1 0.500 0.500 0.000
Ir1 0.000 0.000 0.500
Ir2 0.000 0.500 0.869
Ir3 0.500 0.500 0.500

Calculated values
energy	-7.374	eV per atom
formation energy from raw total energies	-8.0	eV per formula unit

---

Compound: AcSmNiIr
Source: the Alexandria database
Functional: PBE-GGA
Structure: relaxed

a b c (Å): 4.228 4.047 11.256
angles (deg): 90.00 90.00 90.00
Space group Amm2 (No. 38)
One atom of each set of equivalent atoms:
Ac1 0.000 0.000 0.000
Sm1 0.500 0.000 0.278
Ni1 0.500 0.000 0.574
Ir1 0.000 0.000 0.722

Calculated values
energy	-6.358	eV per atom
energy above the lowest structure with this stoichiometry	0	meV/atom

---

Compound: AcSmNiIr
Source: the Alexandria database
Functional: PBE-GGA
Structure: relaxed

a b c (Å): 7.183 7.183 7.183
angles (deg): 90.00 90.00 90.00
Space group F-43m (No. 216)
One atom of each set of equivalent atoms:
Ac1 0.000 0.000 0.000
Sm1 0.000 0.000 0.500
Ni1 0.250 0.250 0.750
Ir1 0.250 0.250 0.250

Calculated values
energy	-6.251	eV per atom
energy above the lowest structure with this stoichiometry	108	meV/atom

---

Question: The lowest energy belongs to which entry?
Answer: Ac2Si3NiIr4

---

Question: What is the energy in the eleventh record?
Answer: -6.358 eV per atom

---

Question: The highest energy belongs to which entry?
Answer: Ac6Ni2IrPt

---

Question: Among the records above, which one has the lowest energy?
Answer: Ac2Si3NiIr4